[1]
Computed, not measured: a relaxed structure of Li5HgSb3 at the PBE level of DFT.

Lattice parameters (Å, degrees): 6.0500 8.8508 7.3839 90.00 90.00 90.00
Closest atoms and distances in Å follow each position.
Atoms (fractional coordinates):
Li1 0.0000 0.0000 0.0000  6 Sb 3.03-3.38
Li2 0.2440 0.2499 0.3058  4 Sb 2.83-3.06, 3 Li 2.87-3.02, 2 Hg 3.02-3.06
Li3 0.2440 0.2499 0.6942  4 Sb 2.83-3.06, 3 Li 2.87-3.02, 2 Hg 3.02-3.06
Li4 0.2560 0.7499 0.3058  4 Sb 2.83-3.06, 3 Li 2.87-3.02, 2 Hg 3.02-3.06
Li5 0.2560 0.7499 0.6942  4 Sb 2.83-3.06, 3 Li 2.87-3.02, 2 Hg 3.02-3.06
Li6 0.5000 0.5000 0.0000  6 Sb 3.03-3.38
Li7 0.7440 0.2501 0.3058  4 Sb 2.83-3.06, 3 Li 2.87-3.02, 2 Hg 3.02-3.06
Li8 0.7440 0.2501 0.6942  4 Sb 2.83-3.06, 3 Li 2.87-3.02, 2 Hg 3.02-3.06
Li9 0.7560 0.7501 0.3058  4 Sb 2.83-3.06, 3 Li 2.87-3.02, 2 Hg 3.02-3.06
Li10 0.7560 0.7501 0.6942  4 Sb 2.83-3.06, 3 Li 2.87-3.02, 2 Hg 3.02-3.06
Hg1 0.0000 0.5000 0.5000  8 Li 3.02-3.06, 2 Sb 3.02
Hg2 0.5000 0.0000 0.5000  8 Li 3.02-3.06, 2 Sb 3.02
Sb1 0.0000 0.0000 0.5000  8 Li 3.02-3.06, 2 Hg 3.02
Sb2 0.0085 0.6579 0.0000  1 Sb 2.80, 5 Li 2.83-3.03
Sb3 0.4915 0.1579 0.0000  1 Sb 2.80, 5 Li 2.83-3.03
Sb4 0.5000 0.5000 0.5000  8 Li 3.02-3.06, 2 Hg 3.02
Sb5 0.5085 0.8421 0.0000  1 Sb 2.80, 5 Li 2.83-3.03
Sb6 0.9915 0.3421 0.0000  1 Sb 2.80, 5 Li 2.83-3.03

---

[2]
Computed, not measured: a relaxed structure of CaZnPb at the PBE level of DFT.

Lattice parameters (Å, degrees): 3.7865 3.7865 6.8181 90.00 90.00 120.00
Closest atoms and distances in Å follow each position.
Atoms (fractional coordinates):
Ca1 0.0000 0.0000 0.0000  3 Zn 3.06
Zn1 0.3333 0.6667 0.6854  3 Pb 2.97, 3 Ca 3.06
Pb1 0.6667 0.3333 0.3898  3 Zn 2.97

Formation energy, eV/atom: -0.116

---

[3]
Computed, not measured: a relaxed structure of LiCe2TcGe6 at the PBE level of DFT.

Lattice parameters (Å, degrees): 12.2064 12.2064 12.2064 29.54 29.54 29.54
Closest atoms and distances in Å follow each position.
Atoms (fractional coordinates):
Li1 0.0720 0.0720 0.0720  6 Ge 2.44-2.47, 1 Tc 2.52
Li2 0.9280 0.9280 0.9280  6 Ge 2.44-2.47, 1 Tc 2.52
Ce1 0.2085 0.2085 0.2085  12 Ge 3.12-3.40
Ce2 0.3879 0.3879 0.3879  12 Ge 3.19-3.51
Ce3 0.6121 0.6121 0.6121  12 Ge 3.19-3.51
Ce4 0.7915 0.7915 0.7915  12 Ge 3.12-3.40
Tc1 0.0000 0.0000 0.0000  6 Ge 2.51, 2 Li 2.52
Tc2 0.5000 0.5000 0.5000  6 Ge 2.49
Ge1 0.1606 0.7305 0.7305  1 Li 2.44, 1 Tc 2.49, 2 Ge 2.68
Ge2 0.1624 0.1624 0.5641  1 Li 2.47, 2 Ge 2.50, 1 Tc 2.51
Ge3 0.1624 0.5641 0.1624  1 Li 2.47, 2 Ge 2.50, 1 Tc 2.51
Ge4 0.2695 0.2695 0.8394  1 Li 2.44, 1 Tc 2.49, 2 Ge 2.68
Ge5 0.2695 0.8394 0.2695  1 Li 2.44, 1 Tc 2.49, 2 Ge 2.68
Ge6 0.4359 0.8376 0.8376  1 Li 2.47, 2 Ge 2.50, 1 Tc 2.51
Ge7 0.5641 0.1624 0.1624  1 Li 2.47, 2 Ge 2.50, 1 Tc 2.51
Ge8 0.7305 0.1606 0.7305  1 Li 2.44, 1 Tc 2.49, 2 Ge 2.68
Ge9 0.7305 0.7305 0.1606  1 Li 2.44, 1 Tc 2.49, 2 Ge 2.68
Ge10 0.8376 0.4358 0.8376  1 Li 2.47, 2 Ge 2.50, 1 Tc 2.51
Ge11 0.8376 0.8376 0.4359  1 Li 2.47, 2 Ge 2.50, 1 Tc 2.51
Ge12 0.8394 0.2695 0.2695  1 Li 2.44, 1 Tc 2.49, 2 Ge 2.68

Formation energy, eV/atom: -0.382

---

[4]
Computed, not measured: a relaxed structure of Cs3NbI6 at the PBE level of DFT.

Lattice parameters (Å, degrees): 9.1476 9.1476 9.1476 60.00 60.00 60.00
Closest atoms and distances in Å follow each position.
Atoms (fractional coordinates):
Cs1 0.0000 0.0000 0.0000  6 I 3.61
Cs2 0.2500 0.2500 0.2500  12 I 4.59
Cs3 0.7500 0.7500 0.7500  12 I 4.59
Nb1 0.5000 0.5000 0.5000  6 I 2.86
I1 0.2789 0.2789 0.7211  1 Nb 2.86
I2 0.2789 0.7211 0.2789  1 Nb 2.86
I3 0.2789 0.7211 0.7211  1 Nb 2.86
I4 0.7211 0.2789 0.2789  1 Nb 2.86
I5 0.7211 0.2789 0.7211  1 Nb 2.86
I6 0.7211 0.7211 0.2789  1 Nb 2.86

---

no.,raw total energy (eV/cell),M_tot (μB per formula unit)
1,-51.45,0.0
2,-7.33,0.0
3,-111.34,1.1
4,-32.26,2.0